# Ti4ZnGa3 (PBE-GGA, optimized geometry)
data_Ti4ZnGa3
_chemical_formula_sum 'Ti8 Zn2 Ga6'
_space_group_name_H-M_alt 'P m n a'
_space_group_IT_number 53
_space_group_name_Hall '-P 2ac 2'
_cell_length_a 7.979
_cell_length_b 5.648
_cell_length_c 5.676
_cell_angle_alpha 90.00
_cell_angle_beta 90.00
_cell_angle_gamma 90.00
loop_
_atom_site_label
_atom_site_type_symbol
_atom_site_fract_x
_atom_site_fract_y
_atom_site_fract_z
_atom_site_occupancy
Ti1 Ti 0.000 0.000 0.000 1
Ti2 Ti 0.000 0.500 0.000 1
Ti3 Ti 0.250 0.243 0.250 1
Zn1 Zn 0.000 0.500 0.500 1
Ga1 Ga 0.000 0.000 0.500 1
Ga2 Ga 0.250 0.257 0.750 1
# Crystal system: orthorhombic
# Formation energy: -0.30 eV/atom
# DOS(E_F): 16.97 states/eV per cell
# Energy above the lowest structure with this stoichiometry: 0.110 eV per atom
# V: 16.0 Å³ per atom
# Calculated density: 6.05 g/cm³